(1)
{
  "formula": "La2TeH2",
  "functional": "PBE",
  "state": "optimized geometry",
  "cell": [[-4.3199, 5.2884, 0.2953], [-4.3055, -5.1566, -1.2603], [3.7749, -0.7702, 5.2064]],
  "species": ["H", "H", "H", "H", "La", "La", "La", "La", "Te", "Te"],
  "frac_coords": [[0.5093, 0.2592, 0.0184], [0.4907, 0.7408, 0.9816], [0.2408, 0.9907, 0.4816], [0.7592, 0.0093, 0.5184], [0.8225, 0.6775, 0.2500], [0.5727, 0.9273, 0.7500], [0.1775, 0.3225, 0.7500], [0.4273, 0.0727, 0.2500], [0.8751, 0.6249, 0.7500], [0.1249, 0.3751, 0.2500]],
  "volume_a3_per_atom": 22.0,
  "e_above_lowest_polymorph_mev_per_atom": 28,
  "rho_g_cm3": 6.14
}

(2)
{
  "formula": "La4Te5H2",
  "functional": "PBE",
  "state": "optimized geometry",
  "cell": [[-2.1357, -2.2946, -3.2356], [7.4823, -2.3488, -3.2731], [-5.4396, -4.4118, 9.8557]],
  "species": ["La", "La", "La", "La", "Te", "Te", "Te", "Te", "Te", "H", "H"],
  "frac_coords": [[0.0279, 0.3036, 0.0558], [0.7099, 0.6936, 0.4198], [0.9721, 0.6964, 0.9442], [0.2901, 0.3064, 0.5802], [0.1386, 0.8107, 0.2772], [0.1706, 0.3734, 0.3411], [0.8614, 0.1893, 0.7228], [0.8294, 0.6266, 0.6589], [0.5000, 0.0000, 0.0000], [0.5803, 0.4518, 0.1607], [0.4197, 0.5482, 0.8393]],
  "volume_a3_per_atom": 32.4,
  "rho_g_cm3": 5.56
}

(3)
{
  "formula": "La5Te5H2",
  "functional": "PBE",
  "state": "optimized geometry",
  "cell": [[-0.4315, 1.7996, 3.8232], [-4.1503, -6.3093, 0.1418], [10.0058, -4.2587, 3.1340]],
  "species": ["La", "La", "La", "La", "La", "H", "H", "Te", "Te", "Te", "Te", "Te"],
  "frac_coords": [[0.8981, 0.7961, 0.6551], [0.3378, 0.6756, 0.1992], [0.6622, 0.3244, 0.8008], [0.1019, 0.2039, 0.3449], [0.0000, 0.0000, 0.0000], [0.9440, 0.8880, 0.1934], [0.0560, 0.1120, 0.8066], [0.5000, 0.0000, 0.5000], [0.2230, 0.4459, 0.6153], [0.6616, 0.3232, 0.0938], [0.7770, 0.5541, 0.3847], [0.3384, 0.6768, 0.9062]],
  "volume_a3_per_atom": 28.6,
  "rho_g_cm3": 6.46
}

(4)
{
  "formula": "LaTe2H",
  "functional": "PBE",
  "state": "optimized geometry",
  "cell": [[5.4013, 0.0000, 0.0000], [2.7006, 4.6776, 0.0000], [2.7006, 1.5592, 4.4101]],
  "species": ["La", "H", "Te", "Te"],
  "frac_coords": [[0.5000, 0.5000, 0.5000], [0.0000, 0.0000, 0.0000], [0.7500, 0.7500, 0.7500], [0.2500, 0.2500, 0.2500]],
  "volume_a3_per_atom": 27.9,
  "e_above_lowest_polymorph_mev_per_atom": 502,
  "rho_g_cm3": 5.89
}

Number 1: total DFT energy (no corrections) -4.86 eV per atom. Number 2: total DFT energy (no corrections) -5.05 eV per atom. Number 3: total DFT energy (no corrections) -5.14 eV per atom. Number 4: total DFT energy (no corrections) -3.96 eV per atom.